VASP calculation (PBE-GGA) on an optimized crystal structure of Zn2BC.

Structure (POSCAR):
```
Zn2BC
1.0
0.000 2.801 2.801
2.801 0.000 2.801
2.801 2.801 0.000
B Zn C
1 2 1
Cartesian
0.000 0.000 0.000
4.202 4.202 4.202
1.401 1.401 1.401
2.801 2.801 2.801
```

Results
Symmetry: No. 225
ΔE_f: 6.33 eV per formula unit

---

VASP calculation (PBE-GGA) on an optimized crystal structure of ZnB2C.

Structure (POSCAR):
```
ZnB2C
1.0
0.000 2.639 2.639
2.639 0.000 2.639
2.639 2.639 0.000
C B Zn
1 2 1
Cartesian
0.000 0.000 0.000
1.319 1.319 1.319
3.958 3.958 3.958
2.639 2.639 2.639
```

Results
Symmetry: No. 225
ΔE_f: 9.48 eV per formula unit
E above lowest polymorph: 1810 meV/atom

---

VASP calculation (PBE-GGA) on an optimized crystal structure of Zn2BC.

Structure (POSCAR):
```
Zn2BC
1.0
4.805 0.000 0.000
0.000 4.805 0.000
2.403 2.403 4.823
Zn B C
4 2 2
Cartesian
3.604 3.423 3.617
1.021 3.604 1.206
6.007 6.187 3.617
3.785 1.201 1.206
2.403 2.403 0.000
2.403 4.805 2.411
4.805 2.403 2.411
0.000 0.000 0.000
```

Results
Symmetry: No. 122
ΔE_f: 5.88 eV per formula unit

---

VASP calculation (PBE-GGA) on an optimized crystal structure of Zr2BC.

Structure (POSCAR):
```
Zr2BC
1.0
3.368 0.000 0.000
1.684 2.917 0.000
1.684 0.972 5.679
B Zr C
1 2 1
Cartesian
3.368 1.945 2.839
1.684 0.972 1.341
5.052 2.917 4.338
0.000 0.000 0.000
```

Results
Symmetry: No. 166
ΔE_f: -2.39 eV per formula unit
E above lowest polymorph: 163 meV/atom

---

VASP calculation (PBE-GGA) on an optimized crystal structure of Zr2BC.

Structure (POSCAR):
```
Zr2BC
1.0
-1.435 2.825 0.817
-0.958 -1.356 3.004
8.764 3.725 2.516
B Zr C
2 4 2
Cartesian
-1.162 1.585 2.305
7.534 3.608 4.031
5.565 4.059 5.567
1.632 2.613 3.660
4.739 2.581 2.676
0.807 1.135 0.769
2.776 1.859 1.724
3.596 3.335 4.613
```

Results
Symmetry: No. 63
ΔE_f: -3.04 eV per formula unit
E above lowest polymorph: 0 meV/atom

---

VASP calculation (PBE-GGA) on an optimized crystal structure of Zr2BC.

Structure (POSCAR):
```
Zr2BC
1.0
0.000 2.991 2.991
2.991 0.000 2.991
2.991 2.991 0.000
Zr C B
2 1 1
Cartesian
1.496 1.496 1.496
4.487 4.487 4.487
2.991 2.991 2.991
0.000 0.000 0.000
```

Results
Symmetry: No. 225
ΔE_f: 1.55 eV per formula unit
E above lowest polymorph: 1148 meV/atom

---

VASP calculation (PBE-GGA) on an optimized crystal structure of ZrBC3.

Structure (POSCAR):
```
ZrBC3
1.0
3.534 0.000 0.000
0.000 3.534 0.000
0.000 0.000 3.534
Zr B C
1 1 3
Cartesian
1.767 1.767 1.767
0.000 0.000 0.000
0.000 1.767 0.000
1.767 0.000 0.000
0.000 0.000 1.767
```

Results
Symmetry: No. 221
ΔE_f: 6.99 eV per formula unit
E above lowest polymorph: 0 meV/atom

---

VASP calculation (PBE-GGA) on an optimized crystal structure of ZrBC3.

Structure (POSCAR):
```
ZrBC3
1.0
4.360 0.000 0.000
0.000 4.360 0.000
0.000 0.000 4.360
Zr C B
1 3 1
Cartesian
0.000 0.000 0.000
0.000 2.180 0.000
2.180 0.000 0.000
0.000 0.000 2.180
2.180 2.180 2.180
```

Results
Symmetry: No. 221
ΔE_f: 15.49 eV per formula unit
E above lowest polymorph: 1700 meV/atom